No. 1
# LiCuS (PBE, relaxed)
# Energy relative to the elements, uncorrected (eV/atom): -0.7321
# Crystal system: orthorhombic
# Calculated volume (Å³/f.u.): 41.5
data_LiCuS
_chemical_formula_sum 'Li4 Cu4 S4'
_symmetry_space_group_name_H-M 'P n m a'
_symmetry_Int_Tables_number 62
_symmetry_space_group_name_Hall '-P 2ac 2n'
_cell_length_a 6.3550
_cell_length_b 3.7389
_cell_length_c 6.9861
_cell_angle_alpha 90.00
_cell_angle_beta 90.00
_cell_angle_gamma 90.00
loop_
_atom_site_label
_atom_site_type_symbol
_atom_site_fract_x
_atom_site_fract_y
_atom_site_fract_z
Li1 Li 0.0326 0.2500 0.1714
Cu1 Cu 0.1325 0.2500 0.5593
S1 S 0.2479 0.7500 0.3773

=====

No. 2
# MnNiAu (PBE, relaxed)
# E above lowest polymorph (eV per atom): 0.025
# Crystal system: tetragonal
# Calculated volume (Å³/f.u.): 43.2
# Energy relative to the elements (kJ/mol of formula units): -4
data_MnNiAu
_chemical_formula_sum 'Mn2 Ni2 Au2'
_symmetry_space_group_name_H-M 'P 4/n m m'
_symmetry_Int_Tables_number 129
_cell_length_a 3.0843
_cell_length_b 3.0843
_cell_length_c 9.0922
_cell_angle_alpha 90.00
_cell_angle_beta 90.00
_cell_angle_gamma 90.00
loop_
_symmetry_equiv_pos_as_xyz
'x,y,z'
'-x,-y,-z'
'-y+1/2,x,z'
'y+1/2,-x,-z'
'-x+1/2,-y+1/2,z'
'x+1/2,y+1/2,-z'
'y,-x+1/2,z'
'-y,x+1/2,-z'
'x+1/2,-y,-z'
'-x+1/2,y,z'
'-y,-x,-z'
'y,x,z'
'-x,y+1/2,-z'
'x,-y+1/2,z'
'y+1/2,x+1/2,-z'
'-y+1/2,-x+1/2,z'
loop_
_atom_site_label
_atom_site_type_symbol
_atom_site_fract_x
_atom_site_fract_y
_atom_site_fract_z
Mn1 Mn 0.2500 0.2500 0.2101
Ni1 Ni 0.2500 0.2500 0.9263
Au1 Au 0.2500 0.2500 0.6096

=====

No. 3
# CrFe2Tc (PBE, relaxed)
# Crystal system: orthorhombic
# Calculated volume (Å³/f.u.): 48.3
# Energy relative to the elements (kJ/mol of formula units): 58
data_CrFe2Tc
_chemical_formula_sum 'Cr1 Fe2 Tc1'
_symmetry_space_group_name_H-M 'P m m 2'
_symmetry_Int_Tables_number 25
_symmetry_space_group_name_Hall 'P 2 -2'
_cell_length_a 2.5863
_cell_length_b 3.5861
_cell_length_c 5.2128
_cell_angle_alpha 90.00
_cell_angle_beta 90.00
_cell_angle_gamma 90.00
loop_
_atom_site_label
_atom_site_type_symbol
_atom_site_fract_x
_atom_site_fract_y
_atom_site_fract_z
Cr1 Cr 0.0000 0.0000 0.0000
Fe1 Fe 0.0000 0.0000 0.4643
Fe2 Fe 0.5000 0.5000 0.2233
Tc1 Tc 0.5000 0.5000 0.7162

=====

No. 4
# Sc2InBr (PBE, relaxed)
# E above lowest polymorph (eV per atom): 0.334
# Energy relative to the elements, uncorrected (eV/atom): -0.2765
# Crystal system: tetragonal
# Calculated volume (Å³/f.u.): 93.8
data_Sc2InBr
_chemical_formula_sum 'Sc4 In2 Br2'
_symmetry_space_group_name_H-M 'I -4 m 2'
_symmetry_Int_Tables_number 119
_symmetry_space_group_name_Hall 'I -4 -2'
_cell_length_a 4.1907
_cell_length_b 4.1907
_cell_length_c 10.6766
_cell_angle_alpha 90.00
_cell_angle_beta 90.00
_cell_angle_gamma 90.00
loop_
_atom_site_label
_atom_site_type_symbol
_atom_site_fract_x
_atom_site_fract_y
_atom_site_fract_z
Sc1 Sc 0.0000 0.0000 0.0000
Sc2 Sc 0.0000 0.5000 0.2500
In1 In 0.0000 0.0000 0.5000
Br1 Br 0.0000 0.5000 0.7500

=====

No. 5
# CsNbIrO6 (PBE, relaxed)
# Energy relative to the elements, uncorrected (eV/atom): -1.6042
# Crystal system: orthorhombic
# Calculated volume (Å³/f.u.): 144.8
data_CsNbIrO6
_chemical_formula_sum 'Cs4 Nb4 Ir4 O24'
_symmetry_space_group_name_H-M 'I m m a'
_symmetry_Int_Tables_number 74
_symmetry_space_group_name_Hall '-I 2b 2'
_cell_length_a 7.3114
_cell_length_b 7.5143
_cell_length_c 10.5446
_cell_angle_alpha 90.00
_cell_angle_beta 90.00
_cell_angle_gamma 90.00
loop_
_atom_site_label
_atom_site_type_symbol
_atom_site_fract_x
_atom_site_fract_y
_atom_site_fract_z
Cs1 Cs 0.0000 0.2500 0.1267
Nb1 Nb 0.0000 0.0000 0.5000
Ir1 Ir 0.2500 0.2500 0.7500
O1 O 0.0000 0.2500 0.4363
O2 O 0.0000 0.2500 0.8166
O3 O 0.1912 0.0681 0.6274

=====

No. 6
# MnAu2Se (PBE, relaxed)
# Energy relative to the elements, uncorrected (eV/atom): 0.0623
# Crystal system: tetragonal
# Calculated volume (Å³/f.u.): 74.7
data_MnAu2Se
_chemical_formula_sum 'Mn1 Au2 Se1'
_symmetry_space_group_name_H-M 'P 4/m m m'
_symmetry_Int_Tables_number 123
_symmetry_space_group_name_Hall '-P 4 2'
_cell_length_a 3.8886
_cell_length_b 3.8886
_cell_length_c 4.9393
_cell_angle_alpha 90.00
_cell_angle_beta 90.00
_cell_angle_gamma 90.00
loop_
_atom_site_label
_atom_site_type_symbol
_atom_site_fract_x
_atom_site_fract_y
_atom_site_fract_z
Mn1 Mn 0.0000 0.0000 0.0000
Au1 Au 0.0000 0.5000 0.5000
Se1 Se 0.5000 0.5000 0.0000

=====

No. 7
# Hf2InSiPt (PBE, relaxed)
# Energy relative to the elements, uncorrected (eV/atom): 0.0036
# Crystal system: tetragonal
# Calculated volume (Å³/f.u.): 108.9
data_Hf2InSiPt
_chemical_formula_sum 'Hf2 In1 Si1 Pt1'
_symmetry_space_group_name_H-M 'P 4/m m m'
_symmetry_Int_Tables_number 123
_symmetry_space_group_name_Hall '-P 4 2'
_cell_length_a 4.9097
_cell_length_b 4.9097
_cell_length_c 4.5156
_cell_angle_alpha 90.00
_cell_angle_beta 90.00
_cell_angle_gamma 90.00
loop_
_atom_site_label
_atom_site_type_symbol
_atom_site_fract_x
_atom_site_fract_y
_atom_site_fract_z
Hf1 Hf 0.0000 0.5000 0.0000
In1 In 0.0000 0.0000 0.5000
Si1 Si 0.5000 0.5000 0.0000
Pt1 Pt 0.5000 0.5000 0.5000

=====

No. 8
# Pr3CrC3 (PBE, relaxed)
# Crystal system: orthorhombic
# Calculated volume (Å³/f.u.): 129.1
# Energy relative to the elements (kJ/mol of formula units): -64
data_Pr3CrC3
_chemical_formula_sum 'Pr12 Cr4 C12'
_symmetry_space_group_name_H-M 'C m c m'
_symmetry_Int_Tables_number 63
_symmetry_space_group_name_Hall '-C 2c 2'
_cell_length_a 8.8272
_cell_length_b 10.7613
_cell_length_c 5.4381
_cell_angle_alpha 90.00
_cell_angle_beta 90.00
_cell_angle_gamma 90.00
loop_
_atom_site_label
_atom_site_type_symbol
_atom_site_fract_x
_atom_site_fract_y
_atom_site_fract_z
Pr1 Pr 0.0000 0.1107 0.2500
Pr2 Pr 0.2044 0.3802 0.2500
Cr1 Cr 0.0000 0.3009 0.7500
C1 C 0.0000 0.1277 0.7500
C2 C 0.1893 0.3722 0.7500

=====

Question: Look up the calculated volume of the sixth one.
Answer: 74.7 Å³/f.u.

=====

Copy entry 2 word for word.
# MnNiAu (PBE, relaxed)
# E above lowest polymorph (eV per atom): 0.025
# Crystal system: tetragonal
# Calculated volume (Å³/f.u.): 43.2
# Energy relative to the elements (kJ/mol of formula units): -4
data_MnNiAu
_chemical_formula_sum 'Mn2 Ni2 Au2'
_symmetry_space_group_name_H-M 'P 4/n m m'
_symmetry_Int_Tables_number 129
_cell_length_a 3.0843
_cell_length_b 3.0843
_cell_length_c 9.0922
_cell_angle_alpha 90.00
_cell_angle_beta 90.00
_cell_angle_gamma 90.00
loop_
_symmetry_equiv_pos_as_xyz
'x,y,z'
'-x,-y,-z'
'-y+1/2,x,z'
'y+1/2,-x,-z'
'-x+1/2,-y+1/2,z'
'x+1/2,y+1/2,-z'
'y,-x+1/2,z'
'-y,x+1/2,-z'
'x+1/2,-y,-z'
'-x+1/2,y,z'
'-y,-x,-z'
'y,x,z'
'-x,y+1/2,-z'
'x,-y+1/2,z'
'y+1/2,x+1/2,-z'
'-y+1/2,-x+1/2,z'
loop_
_atom_site_label
_atom_site_type_symbol
_atom_site_fract_x
_atom_site_fract_y
_atom_site_fract_z
Mn1 Mn 0.2500 0.2500 0.2101
Ni1 Ni 0.2500 0.2500 0.9263
Au1 Au 0.2500 0.2500 0.6096

=====

Question: Which value of calculated volume does entry 3 give?
Answer: 48.3 Å³/f.u.

=====

Question: What is the formula in the seventh record?
Answer: Hf2InSiPt